1.
A plane-wave DFT calculation with PBE-GGA was carried out for an optimized crystal structure of ZrSi2Ag.

Results
Uncorrected energy   -85.480 eV per cell

Unit cell a=6.5752 b=6.5752 c=6.5752 alpha=90.00 beta=90.00 gamma=90.00
Closest atoms and distances in Å follow each position.
Space group F-43m (No. 216)
Unique sites:
Zr 0.0000 0.0000 0.0000  4 Si 2.85, 4 Ag 2.85
Si 0.0000 0.0000 0.5000  4 Ag 2.85, 4 Si 2.85
Si 0.2500 0.2500 0.2500  4 Zr 2.85, 4 Si 2.85
Ag 0.2500 0.2500 0.7500  4 Zr 2.85, 4 Si 2.85

2.
A plane-wave DFT calculation with PBE-GGA was carried out for an optimized crystal structure of CsTaCo.

Results
Uncorrected energy   -54.093 eV per cell

Unit cell a=6.5414 b=6.5414 c=6.5414 alpha=90.00 beta=90.00 gamma=90.00
Closest atoms and distances in Å follow each position.
Space group F-43m (No. 216)
Unique sites:
Cs 0.0000 0.0000 0.0000  4 Co 2.83
Ta 0.0000 0.0000 0.5000  4 Co 2.83
Co 0.2500 0.2500 0.2500  4 Cs 2.83, 4 Ta 2.83

3.
A plane-wave DFT calculation with PBE-GGA was carried out for an optimized crystal structure of Li2Nb2AlTlIr2.

Results
Uncorrected energy   -51.158 eV per cell

Unit cell a=4.4300 b=4.4300 c=6.3339 alpha=90.00 beta=90.00 gamma=90.00
Closest atoms and distances in Å follow each position.
Space group P-4m2 (No. 115)
Unique sites:
Li 0.0000 0.5000 0.2403  4 Nb 2.69-2.76, 2 Al 2.69, 2 Tl 2.76, 1 Ir 2.99
Nb 0.0000 0.0000 0.0000  4 Ir 2.66, 4 Li 2.69
Nb 0.5000 0.5000 0.5000  4 Li 2.76, 4 Ir 2.79
Al 0.5000 0.5000 0.0000  4 Ir 2.66, 4 Li 2.69
Tl 0.0000 0.0000 0.5000  4 Li 2.76, 4 Ir 2.79
Ir 0.0000 0.5000 0.7684  4 Nb 2.66-2.79, 2 Al 2.66, 2 Tl 2.79

4.
A plane-wave DFT calculation with PBE-GGA was carried out for an optimized crystal structure of Ba2SiGePd2.

Results
Uncorrected energy   -27.996 eV per cell

Unit cell a=4.3021 b=4.3021 c=9.6596 alpha=90.00 beta=90.00 gamma=90.00
Closest atoms and distances in Å follow each position.
Space group P4mm (No. 99)
Unique sites:
Ba 0.0000 0.0000 0.0000  4 Si 3.44, 4 Pd 3.54
Ba 0.5000 0.5000 0.4079  4 Ge 3.41, 4 Pd 3.62
Si 0.5000 0.5000 0.8326  4 Pd 2.46
Ge 0.0000 0.0000 0.5668  4 Pd 2.55
Pd 0.0000 0.5000 0.7094  2 Si 2.46, 2 Ge 2.55

5.
A plane-wave DFT calculation with PBE-GGA was carried out for an optimized crystal structure of GaFeAgOs.

Results
Uncorrected energy   -94.410 eV per cell

Unit cell a=6.1754 b=6.1754 c=6.1754 alpha=90.00 beta=90.00 gamma=90.00
Closest atoms and distances in Å follow each position.
Space group F-43m (No. 216)
Unique sites:
Ga 0.0000 0.0000 0.0000  4 Fe 2.67, 4 Os 2.67
Fe 0.2500 0.2500 0.2500  4 Ga 2.67, 4 Ag 2.67
Ag 0.0000 0.0000 0.5000  4 Fe 2.67, 4 Os 2.67
Os 0.2500 0.2500 0.7500  4 Ga 2.67, 4 Ag 2.67

6.
A plane-wave DFT calculation with PBE-GGA was carried out for an optimized crystal structure of LiLaTlCd.

Results
Uncorrected energy   -45.910 eV per cell

Unit cell a=7.4658 b=7.4658 c=7.4658 alpha=90.00 beta=90.00 gamma=90.00
Closest atoms and distances in Å follow each position.
Space group F-43m (No. 216)
Unique sites:
Li 0.0000 0.0000 0.0000  4 Cd 3.23, 4 Tl 3.23
La 0.0000 0.0000 0.5000  4 Tl 3.23, 4 Cd 3.23
Tl 0.2500 0.2500 0.2500  4 La 3.23, 4 Li 3.23
Cd 0.2500 0.2500 0.7500  4 La 3.23, 4 Li 3.23

7.
A plane-wave DFT calculation with PBE-GGA was carried out for an optimized crystal structure of HoBO3.

Results
Uncorrected energy   -165.634 eV per cell

Unit cell a=5.4719 b=4.9512 c=7.7048 alpha=90.00 beta=90.00 gamma=90.00
Closest atoms and distances in Å follow each position.
Space group Pnma (No. 62)
Unique sites:
Ho 0.2385 0.2500 0.0871  7 O 2.25-2.49
B 0.0788 0.2500 0.7331  3 O 1.36-1.38
O 0.0855 0.0112 0.8245  1 B 1.38
O 0.0962 0.2500 0.5570  1 B 1.36

8.
A plane-wave DFT calculation with PBE-GGA was carried out for an optimized crystal structure of Na2Mg2InSnIr2.

Results
Uncorrected energy   -31.467 eV per cell

Unit cell a=4.6890 b=4.6890 c=6.6263 alpha=90.00 beta=90.00 gamma=90.00
Closest atoms and distances in Å follow each position.
Space group P-4m2 (No. 115)
Unique sites:
Na 0.0000 0.5000 0.2480  2 In 2.86, 4 Mg 2.86-2.88, 2 Sn 2.88
Mg 0.0000 0.0000 0.0000  4 Na 2.86, 4 Ir 2.90
Mg 0.5000 0.5000 0.5000  4 Ir 2.84, 4 Na 2.88
In 0.5000 0.5000 0.0000  4 Na 2.86, 4 Ir 2.90
Sn 0.0000 0.0000 0.5000  4 Ir 2.84, 4 Na 2.88
Ir 0.0000 0.5000 0.7427  2 Sn 2.84, 4 Mg 2.84-2.90, 2 In 2.90